Material: CaZnRu2
Method: DFT, GGA-PBE
State: relaxed

Results
As for the space group: No. 99. As for the density of states at the Fermi level: 0.9573 states/eV/atom. The value obtained for the total energy is -5.33 eV per atom.

a = 2.993 Å, b = 2.993 Å, c = 7.705 Å
α = 90.00°, β = 90.00°, γ = 90.00°
Fractional coordinates of all 4 atoms:
Ca 0.000 0.000 0.000
Zn 0.500 0.500 0.692
Ru 0.000 0.000 0.483
Ru 0.500 0.500 0.284